VASP calculation (PBE) on a relaxed structure of MgBePH.

- Uncorrected energy: -31.3 eV for the cell shown
- Crystal system: trigonal

Cell lengths 3.647, 3.647, 8.815 Å; angles 78.06, 78.06, 60.00 degrees
Sites, in units of the cell vectors:
H  0.814  0.814  0.558
H  0.186  0.186  0.442
P  0.399  0.399  0.802
P  0.601  0.601  0.198
Mg  0.500  0.500  0.500
Mg  0.000  0.000  0.000
Be  0.757  0.757  0.730
Be  0.243  0.243  0.270